VASP calculation (PBE-GGA) on an optimized crystal structure of Ac5Er12Tm3.

```
Ac5Er12Tm3
1.0
-9.673 9.673 9.673
9.673 -9.673 9.673
9.673 9.673 -9.673
Ac Er Tm
20 48 12
Direct
0.000 0.000 0.000
0.000 0.000 0.500
0.000 0.500 0.000
0.000 0.500 0.500
0.125 0.750 0.875
0.125 0.875 0.250
0.250 0.125 0.875
0.250 0.625 0.375
0.375 0.250 0.625
0.375 0.625 0.750
0.500 0.000 0.000
0.500 0.000 0.500
0.500 0.500 0.000
0.500 0.500 0.500
0.625 0.375 0.250
0.625 0.750 0.375
0.750 0.375 0.625
0.750 0.875 0.125
0.875 0.125 0.750
0.875 0.250 0.125
0.062 0.650 0.417
0.062 0.912 0.645
0.083 0.733 0.645
0.083 0.850 0.438
0.088 0.233 0.150
0.088 0.355 0.938
0.145 0.233 0.583
0.145 0.412 0.562
0.150 0.088 0.233
0.150 0.562 0.917
0.233 0.150 0.088
0.233 0.583 0.145
0.267 0.355 0.917
0.267 0.412 0.350
0.350 0.267 0.412
0.350 0.583 0.938
0.355 0.917 0.267
0.355 0.938 0.088
0.412 0.350 0.267
0.412 0.562 0.145
0.417 0.062 0.650
0.417 0.855 0.767
0.438 0.083 0.850
0.438 0.855 0.588
0.562 0.145 0.412
0.562 0.917 0.150
0.583 0.145 0.233
0.583 0.938 0.350
0.588 0.438 0.855
0.588 0.650 0.733
0.645 0.062 0.912
0.645 0.083 0.733
0.650 0.417 0.062
0.650 0.733 0.588
0.733 0.588 0.650
0.733 0.645 0.083
0.767 0.417 0.855
0.767 0.850 0.912
0.850 0.438 0.083
0.850 0.912 0.767
0.855 0.588 0.438
0.855 0.767 0.417
0.912 0.645 0.062
0.912 0.767 0.850
0.917 0.150 0.562
0.917 0.267 0.355
0.938 0.088 0.355
0.938 0.350 0.583
0.125 0.250 0.375
0.125 0.375 0.750
0.250 0.375 0.125
0.250 0.875 0.625
0.375 0.125 0.250
0.375 0.750 0.125
0.625 0.250 0.875
0.625 0.875 0.750
0.750 0.125 0.375
0.750 0.625 0.875
0.875 0.625 0.250
0.875 0.750 0.625
```

Properties
**D(E_F)**: 40.95 states/eV/f.u.
**Volume**: 45.3 Å³/atom
**Space-group type**: Ia-3d (230)
**Energy of formation from the pure elements**: 1.010 eV/atom